(1)
{"formula": "MgBH4", "functional": "GGA-PBE", "state": "optimized geometry", "lattice": [[4.1305, 2.2164, -2.6547], [-0.2830, 4.6790, -2.6547], [-1.2367, -2.2164, 4.7516]], "species": ["Mg", "B", "H", "H", "H", "H"], "fractional_positions": [[0.7500, 0.2500, 0.5000], [0.5000, 0.5000, 0.0000], [0.3639, 0.3717, 0.5927], [0.7790, 0.7712, 0.4073], [0.2288, 0.6361, 0.0079], [0.6283, 0.2210, 0.9922]], "polymorph_energy_mev_per_atom": 192, "m_tot_mub_per_fu": 0.0, "space_group": "I-4 (82)", "dos_ef_per_ev_cell": 1.51, "e_tot_ev_per_atom": -3.53}

(2)
{"formula": "MgB2H8", "functional": "GGA-PBE", "state": "optimized geometry", "lattice": [[-5.3668, -1.1244, -1.8425], [-0.9454, -3.2146, 4.7154], [-1.8840, 4.5398, 2.7172]], "species": ["Mg", "Mg", "B", "B", "B", "B", "H", "H", "H", "H", "H", "H", "H", "H", "H", "H", "H", "H", "H", "H", "H", "H"], "fractional_positions": [[0.5000, 0.5000, 0.5018], [0.0000, 0.0000, 0.0018], [0.2363, 0.7637, 0.7418], [0.7637, 0.2363, 0.7418], [0.7363, 0.7363, 0.2418], [0.2637, 0.2637, 0.2418], [0.0473, 0.6993, 0.8146], [0.9527, 0.3007, 0.8146], [0.5473, 0.8007, 0.3146], [0.4527, 0.1993, 0.3146], [0.3007, 0.9527, 0.8146], [0.6993, 0.0473, 0.8146], [0.8007, 0.5473, 0.3146], [0.1993, 0.4527, 0.3146], [0.3764, 0.6236, 0.8189], [0.6236, 0.3764, 0.8189], [0.8764, 0.8764, 0.3189], [0.1236, 0.1236, 0.3189], [0.2245, 0.7755, 0.5264], [0.7755, 0.2245, 0.5264], [0.7245, 0.7245, 0.0264], [0.2755, 0.2755, 0.0264]], "polymorph_energy_mev_per_atom": 42, "m_tot_mub_per_fu": 0.0, "space_group": "P4_2nm (102)", "dos_ef_per_ev_cell": 0.00, "e_tot_ev_per_atom": -4.01}

(3)
{"formula": "MgB2H8", "functional": "GGA-PBE", "state": "optimized geometry", "lattice": [[-1.4395, -6.7549, -11.6787], [13.1289, 2.7432, 2.0495], [-4.6834, -7.5925, 10.2231]], "species": ["Mg", "Mg", "Mg", "Mg", "Mg", "Mg", "Mg", "Mg", "Mg", "Mg", "Mg", "Mg", "B", "B", "B", "B", "B", "B", "B", "B", "B", "B", "B", "B", "B", "B", "B", "B", "B", "B", "B", "B", "B", "B", "B", "B", "H", "H", "H", "H", "H", "H", "H", "H", "H", "H", "H", "H", "H", "H", "H", "H", "H", "H", "H", "H", "H", "H", "H", "H", "H", "H", "H", "H", "H", "H", "H", "H", "H", "H", "H", "H", "H", "H", "H", "H", "H", "H", "H", "H", "H", "H", "H", "H", "H", "H", "H", "H", "H", "H", "H", "H", "H", "H", "H", "H", "H", "H", "H", "H", "H", "H", "H", "H", "H", "H", "H", "H", "H", "H", "H", "H", "H", "H", "H", "H", "H", "H", "H", "H", "H", "H", "H", "H", "H", "H", "H", "H", "H", "H", "H", "H"], "fractional_positions": [[0.6250, 0.2500, 0.8750], [0.8750, 0.7500, 0.6250], [0.7500, 0.1250, 0.3750], [0.2500, 0.3750, 0.1250], [0.3750, 0.6250, 0.7500], [0.1250, 0.8750, 0.2500], [0.3750, 0.7500, 0.1250], [0.1250, 0.2500, 0.3750], [0.2500, 0.8750, 0.6250], [0.7500, 0.6250, 0.8750], [0.6250, 0.3750, 0.2500], [0.8750, 0.1250, 0.7500], [0.6291, 0.3146, 0.0646], [0.7500, 0.5646, 0.4354], [0.7500, 0.1854, 0.8146], [0.8709, 0.9354, 0.6854], [0.5646, 0.9354, 0.2500], [0.3146, 0.5646, 0.1291], [0.9354, 0.1854, 0.3709], [0.1854, 0.3146, 0.2500], [0.3146, 0.7500, 0.6854], [0.1854, 0.8709, 0.4354], [0.5646, 0.6291, 0.8146], [0.9354, 0.7500, 0.0646], [0.3709, 0.6854, 0.9354], [0.2500, 0.4354, 0.5646], [0.2500, 0.8146, 0.1854], [0.1291, 0.0646, 0.3146], [0.4354, 0.0646, 0.7500], [0.6854, 0.4354, 0.8709], [0.0646, 0.8146, 0.6291], [0.8146, 0.6854, 0.7500], [0.6854, 0.2500, 0.3146], [0.8146, 0.1291, 0.5646], [0.4354, 0.3709, 0.1854], [0.0646, 0.2500, 0.9354], [0.6960, 0.2776, 0.0461], [0.7315, 0.6499, 0.4539], [0.7685, 0.2224, 0.9183], [0.8040, 0.8501, 0.5817], [0.6499, 0.9539, 0.2315], [0.2776, 0.5461, 0.1960], [0.8501, 0.0817, 0.3040], [0.2224, 0.4183, 0.2685], [0.4183, 0.7685, 0.7224], [0.0817, 0.8040, 0.3501], [0.5461, 0.6960, 0.7776], [0.9539, 0.7315, 0.1499], [0.3040, 0.7224, 0.9539], [0.2685, 0.3501, 0.5461], [0.2315, 0.7776, 0.0817], [0.1960, 0.1499, 0.4183], [0.3501, 0.0461, 0.7685], [0.7224, 0.4539, 0.8040], [0.1499, 0.9183, 0.6960], [0.7776, 0.5817, 0.7315], [0.5817, 0.2315, 0.2776], [0.9183, 0.1960, 0.6499], [0.4539, 0.3040, 0.2224], [0.0461, 0.2685, 0.8501], [0.1960, 0.0461, 0.2776], [0.2315, 0.4539, 0.6499], [0.2685, 0.9183, 0.2224], [0.3040, 0.5817, 0.8501], [0.1499, 0.2315, 0.9539], [0.7776, 0.1960, 0.5461], [0.3501, 0.3040, 0.0817], [0.7224, 0.2685, 0.4183], [0.9183, 0.7224, 0.7685], [0.5817, 0.3501, 0.8040], [0.0461, 0.7776, 0.6960], [0.4539, 0.1499, 0.7315], [0.8040, 0.9539, 0.7224], [0.7685, 0.5461, 0.3501], [0.7315, 0.0817, 0.7776], [0.6960, 0.4183, 0.1499], [0.8501, 0.7685, 0.0461], [0.2224, 0.8040, 0.4539], [0.6499, 0.6960, 0.9183], [0.2776, 0.7315, 0.5817], [0.0817, 0.2776, 0.2315], [0.4183, 0.6499, 0.1960], [0.9539, 0.2224, 0.3040], [0.5461, 0.8501, 0.2685], [0.5628, 0.3203, 0.9819], [0.8384, 0.5809, 0.5181], [0.6616, 0.1797, 0.7426], [0.9372, 0.9191, 0.7574], [0.5809, 0.0181, 0.3384], [0.3203, 0.4819, 0.0628], [0.9191, 0.2574, 0.4372], [0.1797, 0.2426, 0.1616], [0.2426, 0.6616, 0.6797], [0.2574, 0.9372, 0.4191], [0.4819, 0.5628, 0.8203], [0.0181, 0.8384, 0.0809], [0.4372, 0.6797, 0.0181], [0.1616, 0.4191, 0.4819], [0.3384, 0.8203, 0.2574], [0.0628, 0.0809, 0.2426], [0.4191, 0.9819, 0.6616], [0.6797, 0.5181, 0.9372], [0.0809, 0.7426, 0.5628], [0.8203, 0.7574, 0.8384], [0.7574, 0.3384, 0.3203], [0.7426, 0.0628, 0.5809], [0.5181, 0.4372, 0.1797], [0.9819, 0.1616, 0.9191], [0.0628, 0.9819, 0.3203], [0.3384, 0.5181, 0.5809], [0.1616, 0.7426, 0.1797], [0.4372, 0.7574, 0.9191], [0.0809, 0.3384, 0.0181], [0.8203, 0.0628, 0.4819], [0.4191, 0.4372, 0.2574], [0.6797, 0.1616, 0.2426], [0.7426, 0.6797, 0.6616], [0.7574, 0.4191, 0.9372], [0.9819, 0.8203, 0.5628], [0.5181, 0.0809, 0.8384], [0.9372, 0.0181, 0.6797], [0.6616, 0.4819, 0.4191], [0.8384, 0.2574, 0.8203], [0.5628, 0.2426, 0.0809], [0.9191, 0.6616, 0.9819], [0.1797, 0.9372, 0.5181], [0.5809, 0.5628, 0.7426], [0.3203, 0.8384, 0.7574], [0.2574, 0.3203, 0.3384], [0.2426, 0.5809, 0.0628], [0.0181, 0.1797, 0.4372], [0.4819, 0.9191, 0.1616]], "polymorph_energy_mev_per_atom": 0, "m_tot_mub_per_fu": 0.0, "space_group": "Ia-3d (230)", "dos_ef_per_ev_cell": 0.00, "e_tot_ev_per_atom": -4.05}

(4)
{"formula": "MgB2H8", "functional": "GGA-PBE", "state": "optimized geometry", "lattice": [[-2.1257, 3.2811, -1.6289], [-2.0868, -3.4729, 1.2337], [-0.5775, 2.1613, 5.1071]], "species": ["Mg", "B", "B", "H", "H", "H", "H", "H", "H", "H", "H"], "fractional_positions": [[0.0000, 0.0000, 0.0000], [0.6667, 0.3333, 0.8029], [0.3333, 0.6667, 0.1971], [0.3575, 0.1788, 0.7192], [0.8212, 0.6425, 0.7192], [0.8212, 0.1788, 0.7192], [0.6425, 0.8212, 0.2808], [0.1788, 0.3575, 0.2808], [0.1788, 0.8212, 0.2808], [0.6667, 0.3333, 0.0215], [0.3333, 0.6667, 0.9785]], "polymorph_energy_mev_per_atom": 45, "m_tot_mub_per_fu": 0.0, "space_group": "P-3m1 (164)", "dos_ef_per_ev_cell": 0.00, "e_tot_ev_per_atom": -4.01}

(5)
{"formula": "MgB3H", "functional": "GGA-PBE", "state": "optimized geometry", "lattice": [[4.4457, 0.0000, 0.0000], [0.0000, 4.4457, 0.0000], [0.0000, 0.0000, 4.4457]], "species": ["H", "Mg", "B", "B", "B"], "fractional_positions": [[0.5000, 0.5000, 0.5000], [0.0000, 0.0000, 0.0000], [0.0000, 0.5000, 0.0000], [0.0000, 0.0000, 0.5000], [0.5000, 0.0000, 0.0000]], "polymorph_energy_mev_per_atom": 1368, "m_tot_mub_per_fu": 0.0, "space_group": "Pm-3m (221)", "dos_ef_per_ev_cell": 2.64, "e_tot_ev_per_atom": -2.19}

(6)
{"formula": "MgB2H", "functional": "GGA-PBE", "state": "optimized geometry", "lattice": [[3.2656, 0.0000, 0.0000], [0.0000, 3.2656, 0.0000], [1.6328, 1.6328, 6.6605]], "species": ["H", "H", "Mg", "Mg", "B", "B", "B", "B"], "fractional_positions": [[0.5000, 0.5000, 0.0000], [0.2500, 0.7500, 0.5000], [0.0000, 0.0000, 0.0000], [0.7500, 0.2500, 0.5000], [0.3750, 0.1250, 0.2500], [0.3750, 0.6250, 0.2500], [0.3750, 0.6250, 0.7500], [0.8750, 0.6250, 0.7500]], "polymorph_energy_mev_per_atom": 0, "m_tot_mub_per_fu": 0.0, "space_group": "I4_1/amd (141)", "dos_ef_per_ev_cell": 1.60, "e_tot_ev_per_atom": -4.13}

(7)
{"formula": "MgB2H8", "functional": "GGA-PBE", "state": "optimized geometry", "lattice": [[8.1702, 0.0870, -0.1089], [4.3555, 6.3658, -0.2212], [3.8147, 1.2762, 6.1487]], "species": ["Mg", "Mg", "B", "B", "B", "B", "H", "H", "H", "H", "H", "H", "H", "H", "H", "H", "H", "H", "H", "H", "H", "H"], "fractional_positions": [[0.2500, 0.2500, 0.2500], [0.0000, 0.0000, 0.0000], [0.1453, 0.6175, 0.0750], [0.6175, 0.1453, 0.1622], [0.1622, 0.0750, 0.6175], [0.0750, 0.1622, 0.1453], [0.2434, 0.7042, 0.0520], [0.7042, 0.2434, 0.0004], [0.0004, 0.0520, 0.7042], [0.0520, 0.0004, 0.2434], [0.0635, 0.5639, 0.2697], [0.5639, 0.0635, 0.1029], [0.1029, 0.2697, 0.5639], [0.2697, 0.1029, 0.0635], [0.9990, 0.7302, 0.0064], [0.7302, 0.9990, 0.2644], [0.2644, 0.0064, 0.7302], [0.0064, 0.2644, 0.9990], [0.2757, 0.4715, 0.9706], [0.4715, 0.2757, 0.2822], [0.2822, 0.9706, 0.4715], [0.9706, 0.2822, 0.2757]], "polymorph_energy_mev_per_atom": 4, "m_tot_mub_per_fu": 0.0, "space_group": "F222 (22)", "dos_ef_per_ev_cell": 0.00, "e_tot_ev_per_atom": -4.05}

(8)
{"formula": "MgB2H8", "functional": "GGA-PBE", "state": "optimized geometry", "lattice": [[-3.6303, -5.5322, 2.7305], [-0.5101, -5.8156, -3.0781], [2.9810, -5.2556, 2.6978]], "species": ["Mg", "Mg", "B", "B", "B", "B", "H", "H", "H", "H", "H", "H", "H", "H", "H", "H", "H", "H", "H", "H", "H", "H"], "fractional_positions": [[0.0007, 0.7500, 0.2500], [0.9993, 0.2500, 0.7500], [0.8912, 0.8942, 0.8975], [0.3171, 0.3942, 0.3975], [0.6829, 0.6058, 0.6025], [0.1088, 0.1058, 0.1025], [0.4996, 0.6261, 0.6157], [0.9777, 0.0247, 0.3122], [0.7832, 0.0336, 0.0361], [0.3103, 0.1866, 0.4731], [0.2168, 0.9664, 0.9639], [0.9700, 0.3134, 0.0269], [0.6897, 0.8134, 0.5269], [0.1471, 0.5336, 0.5361], [0.0300, 0.6866, 0.9731], [0.7414, 0.8739, 0.8843], [0.6854, 0.5247, 0.8122], [0.3146, 0.4753, 0.1878], [0.2586, 0.1261, 0.1157], [0.8529, 0.4664, 0.4639], [0.5004, 0.3739, 0.3843], [0.0223, 0.9753, 0.6878]], "polymorph_energy_mev_per_atom": 33, "m_tot_mub_per_fu": 0.0, "space_group": "C2/c (15)", "dos_ef_per_ev_cell": 0.00, "e_tot_ev_per_atom": -4.02}

(9)
{"formula": "MgB2H6", "functional": "GGA-PBE", "state": "optimized geometry", "lattice": [[4.1800, 0.3153, 3.1770], [1.5989, 3.5730, 2.8304], [0.5128, 0.2930, 5.1164]], "species": ["Mg", "B", "B", "H", "H", "H", "H", "H", "H"], "fractional_positions": [[0.0000, 0.0000, 0.0000], [0.6451, 0.4726, 0.5481], [0.3549, 0.5274, 0.4519], [0.5163, 0.7006, 0.6821], [0.9471, 0.4998, 0.2627], [0.7379, 0.1287, 0.7784], [0.4837, 0.2994, 0.3179], [0.0529, 0.5002, 0.7373], [0.2621, 0.8713, 0.2216]], "polymorph_energy_mev_per_atom": 52, "m_tot_mub_per_fu": 0.0, "space_group": "P-1 (2)", "dos_ef_per_ev_cell": 0.00, "e_tot_ev_per_atom": -4.04}

(10)
{"formula": "MgB2H8", "functional": "GGA-PBE", "state": "optimized geometry", "lattice": [[8.1665, 0.0957, 0.0000], [1.0914, 8.0938, 0.0000], [-4.6289, -4.0948, 5.3392]], "species": ["Mg", "Mg", "Mg", "Mg", "B", "B", "B", "B", "B", "B", "B", "B", "H", "H", "H", "H", "H", "H", "H", "H", "H", "H", "H", "H", "H", "H", "H", "H", "H", "H", "H", "H", "H", "H", "H", "H", "H", "H", "H", "H", "H", "H", "H", "H"], "fractional_positions": [[0.2500, 0.2500, 0.0000], [0.7500, 0.7500, 0.0000], [0.5000, 0.0000, 0.5000], [0.0000, 0.5000, 0.5000], [0.5899, 0.3750, 0.7149], [0.0899, 0.3750, 0.2149], [0.6601, 0.8750, 0.2851], [0.1601, 0.8750, 0.7851], [0.6250, 0.3399, 0.2149], [0.6250, 0.8399, 0.7149], [0.1250, 0.4101, 0.7851], [0.1250, 0.9101, 0.2851], [0.6056, 0.3003, 0.8158], [0.1056, 0.2897, 0.3053], [0.2655, 0.4603, 0.3158], [0.7655, 0.4497, 0.8053], [0.4845, 0.7897, 0.1842], [0.9845, 0.8003, 0.6947], [0.1444, 0.9497, 0.6842], [0.6444, 0.9603, 0.1947], [0.6997, 0.5155, 0.3053], [0.7103, 0.0155, 0.8158], [0.5397, 0.8556, 0.8053], [0.5503, 0.3556, 0.3158], [0.2103, 0.3944, 0.6947], [0.1997, 0.8944, 0.1842], [0.0503, 0.7345, 0.1947], [0.0397, 0.2345, 0.6842], [0.4881, 0.4999, 0.7482], [0.9881, 0.2399, 0.9882], [0.9983, 0.5101, 0.2482], [0.4983, 0.2501, 0.4882], [0.7517, 0.7399, 0.2518], [0.2517, 0.9999, 0.0118], [0.2619, 0.7501, 0.7518], [0.7619, 0.0101, 0.5118], [0.5001, 0.2483, 0.9882], [0.7601, 0.7483, 0.7482], [0.4899, 0.7381, 0.4882], [0.7499, 0.2381, 0.2482], [0.2601, 0.5119, 0.0118], [0.0001, 0.0119, 0.2518], [0.2499, 0.0017, 0.5118], [0.9899, 0.5017, 0.7518]], "polymorph_energy_mev_per_atom": 26, "m_tot_mub_per_fu": 0.0, "space_group": "I4_1/acd (142)", "dos_ef_per_ev_cell": 0.00, "e_tot_ev_per_atom": -4.02}

(11)
{"formula": "MgB2H", "functional": "GGA-PBE", "state": "optimized geometry", "lattice": [[-1.6312, 0.5054, 3.3570], [0.6878, 3.1321, 1.9755], [-2.6965, 2.5971, 0.4116]], "species": ["H", "Mg", "B", "B"], "fractional_positions": [[0.0000, 0.0000, 0.0000], [0.5000, 0.5000, 0.5000], [0.2500, 0.2500, 0.2500], [0.7500, 0.7500, 0.7500]], "polymorph_energy_mev_per_atom": 1157, "m_tot_mub_per_fu": 0.0, "space_group": "Fm-3m (225)", "dos_ef_per_ev_cell": 1.78, "e_tot_ev_per_atom": -2.98}

(12)
{"formula": "MgBH2", "functional": "GGA-PBE", "state": "optimized geometry", "lattice": [[-1.8291, 2.4214, -1.7943], [-2.9559, -1.0323, 1.6202], [-1.5637, 4.0030, 3.5329]], "species": ["H", "H", "H", "H", "Mg", "Mg", "B", "B"], "fractional_positions": [[0.3760, 0.1250, 0.2500], [0.3740, 0.6250, 0.2500], [0.3750, 0.6240, 0.7500], [0.8750, 0.6260, 0.7500], [0.0000, 0.0000, 0.0000], [0.7500, 0.2500, 0.5000], [0.5000, 0.5000, 0.0000], [0.2500, 0.7500, 0.5000]], "polymorph_energy_mev_per_atom": 0, "m_tot_mub_per_fu": 0.0, "space_group": "I4_1/amd (141)", "dos_ef_per_ev_cell": 1.50, "e_tot_ev_per_atom": -3.28}

(13)
{"formula": "MgB2H8", "functional": "GGA-PBE", "state": "optimized geometry", "lattice": [[3.9057, 0.2823, 0.2142], [0.4136, 5.1276, -0.2422], [0.4136, 1.1474, 5.0035]], "species": ["Mg", "B", "B", "H", "H", "H", "H", "H", "H", "H", "H"], "fractional_positions": [[0.0000, 0.0000, 0.0000], [0.6610, 0.7870, 0.7870], [0.3390, 0.2130, 0.2130], [0.2645, 0.3005, 0.9851], [0.7355, 0.0149, 0.6995], [0.3476, 0.7896, 0.7896], [0.6524, 0.2104, 0.2104], [0.2645, 0.9851, 0.3005], [0.7355, 0.6995, 0.0149], [0.8063, 0.6377, 0.6377], [0.1937, 0.3623, 0.3623]], "polymorph_energy_mev_per_atom": 69, "m_tot_mub_per_fu": 0.0, "space_group": "C2/m (12)", "dos_ef_per_ev_cell": 0.00, "e_tot_ev_per_atom": -3.98}

(14)
{"formula": "MgB2H8", "functional": "GGA-PBE", "state": "optimized geometry", "lattice": [[5.5797, 0.0000, 0.0000], [0.0000, 5.5797, 0.0000], [0.0000, 0.0000, 5.8926]], "species": ["Mg", "Mg", "B", "B", "B", "B", "H", "H", "H", "H", "H", "H", "H", "H", "H", "H", "H", "H", "H", "H", "H", "H"], "fractional_positions": [[0.0000, 0.0000, 0.0000], [0.5000, 0.5000, 0.5000], [0.7492, 0.2492, 0.7500], [0.2508, 0.7508, 0.7500], [0.7508, 0.7492, 0.2500], [0.2492, 0.2508, 0.2500], [0.7191, 0.4622, 0.7891], [0.2809, 0.5378, 0.7891], [0.5378, 0.7191, 0.2109], [0.4622, 0.2809, 0.2109], [0.6719, 0.1398, 0.9151], [0.3281, 0.8602, 0.9151], [0.8602, 0.6719, 0.0849], [0.1398, 0.3281, 0.0849], [0.9622, 0.2191, 0.7109], [0.0378, 0.7809, 0.7109], [0.7809, 0.9622, 0.2891], [0.2191, 0.0378, 0.2891], [0.6398, 0.1719, 0.5849], [0.3602, 0.8281, 0.5849], [0.8281, 0.6398, 0.4151], [0.1719, 0.3602, 0.4151]], "polymorph_energy_mev_per_atom": 29, "m_tot_mub_per_fu": 0.0, "space_group": "P-4n2 (118)", "dos_ef_per_ev_cell": 0.00, "e_tot_ev_per_atom": -4.02}